A relaxed structure of Tl2PbS. Source: Alexandria, functional GGA-PBE.

Unit cell a=3.8318 b=3.8318 c=30.1237 alpha=90.00 beta=90.00 gamma=120.00
Closest atoms and distances in Å follow each position.
Fractional coordinates of all 12 atoms:
Tl: 0.0000 0.0000 0.1060  3 S 2.87, 1 Pb 3.19
Tl: 0.0000 0.0000 0.8940  3 S 2.87, 1 Pb 3.19
Tl: 0.3333 0.6667 0.5607  3 S 2.87, 1 Pb 3.19
Tl: 0.3333 0.6667 0.7726  3 S 2.87, 1 Pb 3.19
Tl: 0.6667 0.3333 0.2274  3 S 2.87, 1 Pb 3.19
Tl: 0.6667 0.3333 0.4393  3 S 2.87, 1 Pb 3.19
Pb: 0.0000 0.0000 0.0000  2 Tl 3.19
Pb: 0.3333 0.6667 0.6667  2 Tl 3.19
Pb: 0.6667 0.3333 0.3333  2 Tl 3.19
S: 0.0000 0.0000 0.5000  6 Tl 2.87
S: 0.3333 0.6667 0.1667  6 Tl 2.87
S: 0.6667 0.3333 0.8333  6 Tl 2.87

Output
- E_tot (hartree per atom) = -0.1185
- space-group type = No. 166